The following is a PBE-GGA calculation of crystalline HoNbGa at its relaxed geometry, from Alexandria via LeMat-Bulk.

Fermi-level density of states: 8.942 states/eV/cell
size of the total moment: 0.0 Bohr magnetons per cell
ΔH_f (0 K): -0.403 eV/atom
symmetry: I4/mmm
DFT total energy: -6.2941 eV per atom
excess energy over the best structure of this formula in the dataset: 0.00 eV per formula unit
mass density: 8.42 Mg/m³

Unit cell a=4.002 b=4.002 c=16.142 alpha=90.00 beta=90.00 gamma=90.00
Element x y z (fractional)
Ho 0.000 0.000 0.175
Ho 0.000 0.000 0.825
Ho 0.500 0.500 0.325
Ho 0.500 0.500 0.675
Nb 0.000 0.500 0.000
Nb 0.000 0.500 0.500
Nb 0.500 0.000 0.000
Nb 0.500 0.000 0.500
Ga 0.000 0.000 0.375
Ga 0.000 0.000 0.625
Ga 0.500 0.500 0.125
Ga 0.500 0.500 0.875